Record 1
Computed, not measured: a geometry-optimized CrSiCl3 structure at the PBE-GGA level of DFT.

N(E_F): 2.947 states/eV/f.u.
E_form (uncorrected): -0.124 eV/atom
crystal system: cubic
SG: Pm-3m
E: -4.24 eV/atom

a b c (Å): 4.858 4.858 4.858
angles (deg): 90.00 90.00 90.00
Last column: magnetic moment on the atom in μB.
Fractional positions:
Cr: 0.000 0.000 0.000  3.62
Si: 0.500 0.500 0.500  0.34
Cl: 0.000 0.500 0.000  -0.02
Cl: 0.000 0.000 0.500  -0.01
Cl: 0.500 0.000 0.000  -0.02

---

Record 2
Computed, not measured: a geometry-optimized Sr2Nb2O7 structure at the PBE-GGA level of DFT.

N(E_F): 0.000 states/eV/f.u.
E_form (uncorrected): -2.861 eV/atom
crystal system: orthorhombic
SG: Cmc2_1
E: -8.15 eV/atom

a b c (Å): 13.817 13.817 5.828
angles (deg): 90.00 90.00 163.35
Fractional positions:
Sr: 0.291 0.709 0.040
Sr: 0.709 0.291 0.540
Sr: 0.449 0.551 0.476
Sr: 0.551 0.449 0.976
Nb: 0.839 0.161 0.504
Nb: 0.161 0.839 0.004
Nb: 0.059 0.941 0.473
Nb: 0.941 0.059 0.973
O: 0.452 0.548 0.939
O: 0.548 0.452 0.439
O: 0.908 0.092 0.663
O: 0.092 0.908 0.163
O: 0.801 0.199 0.767
O: 0.199 0.801 0.267
O: 0.214 0.786 0.793
O: 0.786 0.214 0.293
O: 0.991 0.009 0.217
O: 0.009 0.991 0.717
O: 0.889 0.111 0.171
O: 0.111 0.889 0.671
O: 0.350 0.650 0.467
O: 0.650 0.350 0.967

---

Record 3
Computed, not measured: a geometry-optimized ZrTaCl4 structure at the PBE-GGA level of DFT.

N(E_F): 7.905 states/eV/f.u.
E_form (uncorrected): 0.824 eV/atom
crystal system: cubic
SG: F-43m
E: -3.81 eV/atom

a b c (Å): 5.608 5.608 5.608
angles (deg): 60.00 60.00 60.00
Last column: magnetic moment on the atom in μB.
Fractional positions:
Zr: 0.000 0.000 0.000  0.33
Ta: 0.750 0.750 0.750  1.21
Cl: 0.876 0.375 0.375  0.12
Cl: 0.375 0.375 0.876  0.12
Cl: 0.375 0.876 0.375  0.12
Cl: 0.375 0.375 0.375  0.12

---

Record 4
Computed, not measured: a geometry-optimized Nb4Mo5 structure at the PBE-GGA level of DFT.

N(E_F): 4.771 states/eV/f.u.
crystal system: tetragonal
E_form: -0.099 eV per atom
SG: I4/mmm
E: -10.59 eV/atom

a b c (Å): 3.225 7.037 7.037
angles (deg): 86.99 76.75 76.75
Fractional positions:
Nb: 0.000 0.327 0.673
Nb: 0.000 0.673 0.327
Nb: 0.327 0.673 0.673
Nb: 0.673 0.327 0.327
Mo: 0.000 0.000 0.000
Mo: 0.334 0.000 0.332
Mo: 0.666 0.000 0.668
Mo: 0.334 0.332 0.000
Mo: 0.666 0.668 0.000

---

Record 5
Computed, not measured: a geometry-optimized Tm5Co2Pt structure at the PBE-GGA level of DFT.

N(E_F): 5.812 states/eV/f.u.
crystal system: tetragonal
E_form: -0.549 eV per atom
SG: I4/mcm
E: -5.88 eV/atom

a b c (Å): 7.060 7.060 8.606
angles (deg): 114.22 114.22 90.00
Fractional positions:
Tm: 0.536 0.683 0.719
Tm: 0.817 0.964 0.281
Tm: 0.000 0.000 0.000
Tm: 0.500 0.500 0.000
Tm: 0.183 0.036 0.719
Tm: 0.683 0.183 0.719
Tm: 0.036 0.536 0.719
Tm: 0.317 0.817 0.281
Tm: 0.964 0.464 0.281
Tm: 0.464 0.317 0.281
Co: 0.114 0.386 0.000
Co: 0.614 0.114 0.000
Co: 0.386 0.886 0.000
Co: 0.886 0.614 0.000
Pt: 0.750 0.750 0.500
Pt: 0.250 0.250 0.500

---

Record 6
Computed, not measured: a geometry-optimized LiDyCdIn structure at the PBE-GGA level of DFT.

N(E_F): 2.390 states/eV/f.u.
crystal system: cubic
E_form: -0.345 eV per atom
SG: F-43m
E: -2.89 eV/atom

a b c (Å): 5.079 5.079 5.079
angles (deg): 60.00 60.00 60.00
Fractional positions:
Cd: 0.750 0.750 0.750
In: 0.250 0.250 0.250
Li: 0.000 0.000 0.000
Dy: 0.500 0.500 0.500